Entry 1:
# Si17CO34

Si17CO34 after structural relaxation (PBEsol, Alexandria).

Calculated total energy (eV/atom): -8.0799
Crystal system: cubic
Formation energy from raw total energies (meV/atom): -2583
Density of states at the Fermi level (states/eV per cell): 23.76
Magnetization (μB per atom): 0.038

Cell: 14.1051 14.1051 14.1051 Å, 60.00 60.00 60.00°
With the nearest neighbours (Å) after each atom.
Fractional coordinates of all 104 atoms:
Si  0.0058  0.2358  0.6292  4 O 1.61-1.62
Si  0.0058  0.6292  0.2358  4 O 1.61-1.62
Si  0.0058  0.6292  0.6292  4 O 1.61-1.62
Si  0.1250  0.1250  0.1250  4 O 1.59
Si  0.1519  0.7827  0.7827  4 O 1.60-1.61
Si  0.2173  0.2173  0.2173  4 O 1.60-1.61
Si  0.2173  0.2173  0.8481  4 O 1.60-1.61
Si  0.2173  0.8481  0.2173  4 O 1.60-1.61
Si  0.2358  0.0058  0.6292  4 O 1.61-1.62
Si  0.2358  0.6292  0.0058  4 O 1.61-1.62
Si  0.2358  0.6292  0.6292  4 O 1.61-1.62
Si  0.3708  0.3708  0.7642  4 O 1.61-1.62
Si  0.3708  0.3708  0.9942  4 O 1.61-1.62
Si  0.3708  0.7642  0.3708  4 O 1.61-1.62
Si  0.3708  0.7642  0.9942  4 O 1.61-1.62
Si  0.3708  0.9942  0.3708  4 O 1.61-1.62
Si  0.3708  0.9942  0.7642  4 O 1.61-1.62
Si  0.6292  0.0058  0.2358  4 O 1.61-1.62
Si  0.6292  0.0058  0.6292  4 O 1.61-1.62
Si  0.6292  0.2358  0.0058  4 O 1.61-1.62
Si  0.6292  0.2358  0.6292  4 O 1.61-1.62
Si  0.6292  0.6292  0.0058  4 O 1.61-1.62
Si  0.6292  0.6292  0.2358  4 O 1.61-1.62
Si  0.7642  0.3708  0.3708  4 O 1.61-1.62
Si  0.7642  0.3708  0.9942  4 O 1.61-1.62
Si  0.7642  0.9942  0.3708  4 O 1.61-1.62
Si  0.7827  0.1519  0.7827  4 O 1.60-1.61
Si  0.7827  0.7827  0.1519  4 O 1.60-1.61
Si  0.7827  0.7827  0.7827  4 O 1.60-1.61
Si  0.8481  0.2173  0.2173  4 O 1.60-1.61
Si  0.8750  0.8750  0.8750  4 O 1.59
Si  0.9942  0.3708  0.3708  4 O 1.61-1.62
Si  0.9942  0.3708  0.7642  4 O 1.61-1.62
Si  0.9942  0.7642  0.3708  4 O 1.61-1.62
C  0.3750  0.3750  0.3750  42 O 5.01-5.17, 28 Si 5.32-5.45
C  0.6250  0.6250  0.6250  42 O 5.01-5.17, 28 Si 5.32-5.45
O  0.0000  0.3146  0.5000  2 Si 1.61
O  0.0000  0.3146  0.6854  2 Si 1.61
O  0.0000  0.5000  0.3146  2 Si 1.61
O  0.0000  0.5000  0.6854  2 Si 1.61
O  0.0000  0.6854  0.3146  2 Si 1.61
O  0.0000  0.6854  0.5000  2 Si 1.61
O  0.0134  0.8289  0.8289  2 Si 1.59-1.60
O  0.1071  0.2943  0.2943  2 Si 1.61
O  0.1071  0.2943  0.8043  2 Si 1.61
O  0.1071  0.8043  0.2943  2 Si 1.61
O  0.1238  0.1238  0.6262  2 Si 1.62
O  0.1238  0.6262  0.1238  2 Si 1.62
O  0.1238  0.6262  0.6262  2 Si 1.62
O  0.1711  0.1711  0.1711  2 Si 1.59-1.60
O  0.1711  0.1711  0.9866  2 Si 1.59-1.60
O  0.1711  0.9866  0.1711  2 Si 1.59-1.60
O  0.1957  0.7057  0.7057  2 Si 1.61
O  0.1957  0.7057  0.8929  2 Si 1.61
O  0.1957  0.8929  0.7057  2 Si 1.61
O  0.2943  0.1071  0.2943  2 Si 1.61
O  0.2943  0.1071  0.8043  2 Si 1.61
O  0.2943  0.2943  0.1071  2 Si 1.61
O  0.2943  0.2943  0.8043  2 Si 1.61
O  0.2943  0.8043  0.1071  2 Si 1.61
O  0.2943  0.8043  0.2943  2 Si 1.61
O  0.3146  0.0000  0.5000  2 Si 1.61
O  0.3146  0.0000  0.6854  2 Si 1.61
O  0.3146  0.5000  0.0000  2 Si 1.61
O  0.3146  0.5000  0.6854  2 Si 1.61
O  0.3146  0.6854  0.0000  2 Si 1.61
O  0.3146  0.6854  0.5000  2 Si 1.61
O  0.3738  0.3738  0.8762  2 Si 1.62
O  0.3738  0.8762  0.3738  2 Si 1.62
O  0.3738  0.8762  0.8762  2 Si 1.62
O  0.5000  0.0000  0.3146  2 Si 1.61
O  0.5000  0.0000  0.6854  2 Si 1.61
O  0.5000  0.3146  0.0000  2 Si 1.61
O  0.5000  0.3146  0.6854  2 Si 1.61
O  0.5000  0.6854  0.0000  2 Si 1.61
O  0.5000  0.6854  0.3146  2 Si 1.61
O  0.6262  0.1238  0.1238  2 Si 1.62
O  0.6262  0.1238  0.6262  2 Si 1.62
O  0.6262  0.6262  0.1238  2 Si 1.62
O  0.6854  0.0000  0.3146  2 Si 1.61
O  0.6854  0.0000  0.5000  2 Si 1.61
O  0.6854  0.3146  0.0000  2 Si 1.61
O  0.6854  0.3146  0.5000  2 Si 1.61
O  0.6854  0.5000  0.0000  2 Si 1.61
O  0.6854  0.5000  0.3146  2 Si 1.61
O  0.7057  0.1957  0.7057  2 Si 1.61
O  0.7057  0.1957  0.8929  2 Si 1.61
O  0.7057  0.7057  0.1957  2 Si 1.61
O  0.7057  0.7057  0.8929  2 Si 1.61
O  0.7057  0.8929  0.1957  2 Si 1.61
O  0.7057  0.8929  0.7057  2 Si 1.61
O  0.8043  0.1071  0.2943  2 Si 1.61
O  0.8043  0.2943  0.1071  2 Si 1.61
O  0.8043  0.2943  0.2943  2 Si 1.61
O  0.8289  0.0134  0.8289  2 Si 1.59-1.60
O  0.8289  0.8289  0.0134  2 Si 1.59-1.60
O  0.8289  0.8289  0.8289  2 Si 1.59-1.60
O  0.8762  0.3738  0.3738  2 Si 1.62
O  0.8762  0.3738  0.8762  2 Si 1.62
O  0.8762  0.8762  0.3738  2 Si 1.62
O  0.8929  0.1957  0.7057  2 Si 1.61
O  0.8929  0.7057  0.1957  2 Si 1.61
O  0.8929  0.7057  0.7057  2 Si 1.61
O  0.9866  0.1711  0.1711  2 Si 1.59-1.60


Entry 2:
# Y2SiCO7

Y2SiCO7 after structural relaxation (PBEsol, Alexandria).

Calculated total energy (eV/atom): -8.8924
Crystal system: triclinic
Formation energy from raw total energies (meV/atom): -2912
Density of states at the Fermi level (states/eV per cell): 0.00
Magnetization (μB per atom): 0.000

Cell: 6.4465 6.5641 6.6165 Å, 95.65 116.30 92.71°
With the nearest neighbours (Å) after each atom.
Fractional coordinates of all 22 atoms:
Y  0.2450  0.3301  0.3125  7 O 2.23-2.42
Y  0.2483  0.0854  0.7991  8 O 2.28-2.45
Y  0.7517  0.9146  0.2009  8 O 2.28-2.45
Y  0.7550  0.6699  0.6875  7 O 2.23-2.42
Si  0.2366  0.8416  0.2587  4 O 1.62-1.67
Si  0.7634  0.1584  0.7413  4 O 1.62-1.67
C  0.3054  0.5888  0.7672  3 O 1.28-1.30
C  0.6946  0.4112  0.2328  3 O 1.28-1.30
O  0.0230  0.2479  0.9400  1 Si 1.64
O  0.1553  0.7162  0.7512  1 C 1.28
O  0.1674  0.0169  0.4132  1 Si 1.67
O  0.2344  0.4008  0.6652  1 C 1.30
O  0.3724  0.6656  0.4084  1 Si 1.62
O  0.3886  0.9680  0.1594  1 Si 1.64
O  0.4753  0.3530  0.1206  1 C 1.29
O  0.5247  0.6470  0.8794  1 C 1.29
O  0.6114  0.0320  0.8406  1 Si 1.64
O  0.6276  0.3344  0.5916  1 Si 1.62
O  0.7656  0.5992  0.3348  1 C 1.30
O  0.8326  0.9831  0.5868  1 Si 1.67
O  0.8447  0.2838  0.2488  1 C 1.28
O  0.9770  0.7521  0.0600  1 Si 1.64


Entry 3:
# Sn2CO

Sn2CO after structural relaxation (PBEsol, Alexandria).

Calculated total energy (eV/atom): -5.1839
Crystal system: cubic
Formation energy from raw total energies (meV/atom): 669
Density of states at the Fermi level (states/eV per cell): 1.30
Magnetization (μB per atom): 0.000

Cell: 4.2873 4.2873 4.2873 Å, 60.00 60.00 60.00°
With the nearest neighbours (Å) after each atom.
Fractional coordinates of all 4 atoms:
Sn  0.2500  0.2500  0.2500  4 O 2.63, 4 C 2.63
Sn  0.7500  0.7500  0.7500  4 O 2.63, 4 C 2.63
C  0.0000  0.0000  0.0000  8 Sn 2.63
O  0.5000  0.5000  0.5000  8 Sn 2.63


Entry 4:
# SrCO3

SrCO3 after structural relaxation (PBEsol, Alexandria).

Calculated total energy (eV/atom): -3.8474
Crystal system: cubic
Formation energy from raw total energies (meV/atom): 1599
Density of states at the Fermi level (states/eV per cell): 11.60
Magnetization (μB per atom): 0.862

Cell: 4.6629 4.6629 4.6629 Å, 90.00 90.00 90.00°
With the nearest neighbours (Å) after each atom.
Fractional coordinates of all 5 atoms:
Sr  0.0000  0.0000  0.0000  6 O 2.33
C  0.5000  0.5000  0.5000  12 O 3.30
O  0.0000  0.0000  0.5000  2 Sr 2.33
O  0.0000  0.5000  0.0000  2 Sr 2.33
O  0.5000  0.0000  0.0000  2 Sr 2.33


Entry 5:
# SrCO3

SrCO3 after structural relaxation (PBEsol, Alexandria).

Calculated total energy (eV/atom): -7.7123
Crystal system: monoclinic
Formation energy from raw total energies (meV/atom): -2266
Density of states at the Fermi level (states/eV per cell): 0.00
Magnetization (μB per atom): 0.000

Cell: 4.2947 4.2947 8.1902 Å, 108.11 108.11 72.89°
With the nearest neighbours (Å) after each atom.
Fractional coordinates of all 10 atoms:
Sr  0.0000  0.0000  0.0000  6 O 2.41-2.70
Sr  0.0000  0.0000  0.5000  8 O 2.57-2.68
C  0.4578  0.4578  0.7686  3 O 1.28-1.30
C  0.5422  0.5422  0.2314  3 O 1.28-1.30
O  0.1500  0.5895  0.6974  1 C 1.30
O  0.3761  0.3761  0.0895  1 C 1.28
O  0.4105  0.8500  0.3026  1 C 1.30
O  0.5895  0.1500  0.6974  1 C 1.30
O  0.6239  0.6239  0.9105  1 C 1.28
O  0.8500  0.4105  0.3026  1 C 1.30


Entry 6:
# SrCO2

SrCO2 after structural relaxation (PBEsol, Alexandria).

Calculated total energy (eV/atom): -5.7140
Crystal system: tetragonal
Formation energy from raw total energies (meV/atom): -218
Density of states at the Fermi level (states/eV per cell): 0.65
Magnetization (μB per atom): 0.000

Cell: 6.0581 6.0581 6.0581 Å, 135.10 135.10 65.38°
With the nearest neighbours (Å) after each atom.
Fractional coordinates of all 8 atoms:
Sr  0.0000  0.0000  0.0000  4 O 2.41
Sr  0.7500  0.2500  0.5000  4 O 2.41
C  0.2500  0.7500  0.5000  4 O 1.83
C  0.5000  0.5000  0.0000  4 O 1.83
O  0.2407  0.6250  0.1157  2 C 1.83
O  0.3750  0.4907  0.6157  2 C 1.83
O  0.5093  0.1250  0.8843  2 C 1.83
O  0.8750  0.7593  0.3843  2 C 1.83


Question: Number 3 is which compound?
Answer: Sn2CO